1.
VASP calculation (PBE) on a geometry-optimized Dy3Ga2Ni9Ge structure.

abc: 6.017 6.017 8.322
angles: 90.00 90.00 120.00
Fractional coordinates of all 15 atoms:
Ge  0.000  0.000  0.500
Ni  0.500  0.500  0.000
Ga  0.333  0.667  0.189
Ni  0.133  0.266  0.279
Dy  0.667  0.333  0.295
Ni  0.266  0.133  0.721
Ni  0.500  0.000  0.000
Dy  0.333  0.667  0.705
Ga  0.667  0.333  0.811
Ni  0.734  0.867  0.279
Ni  0.000  0.500  0.000
Ni  0.867  0.734  0.721
Dy  0.000  0.000  0.000
Ni  0.867  0.133  0.721
Ni  0.133  0.867  0.279

## Properties
SG = P-3m1 (164)

2.
VASP calculation (PBE) on a geometry-optimized FeAu3 structure.

abc: 4.576 4.576 4.576
angles: 60.00 60.00 60.00
Site moments in Bohr magnetons follow the coordinates.
Fractional coordinates of all 4 atoms:
Fe  0.500  0.500  0.500  3.08
Au  0.750  0.750  0.750  0.00
Au  0.250  0.250  0.250  0.00
Au  0.000  0.000  0.000  -0.01

## Properties
SG = Fm-3m (225)

3.
VASP calculation (PBE) on a geometry-optimized Hf2FeOs structure.

abc: 3.209 3.209 6.382
angles: 90.00 90.00 90.00
Site moments in Bohr magnetons follow the coordinates.
Fractional coordinates of all 4 atoms:
Fe  0.500  0.500  0.000  0.49
Os  0.500  0.500  0.500  -0.03
Hf  0.000  0.000  0.242  -0.09
Hf  0.000  0.000  0.758  -0.09

## Properties
SG = P4/mmm (123)

no.,ΔE_f (meV/atom),density of states at the Fermi level (states/eV per cell),total moment (μB/f.u.)
1,-154,9.3,0.0
2,162,3.3,3.1
3,-509,1.5,0.2